# Ag2TeS (PBE, optimized geometry)
data_Ag2TeS
_space_group_name_H-M_alt 'C 1 m 1'
_space_group_IT_number 8
_cell_length_a 5.868
_cell_length_b 7.601
_cell_length_c 4.695
_cell_angle_alpha 90.00
_cell_angle_beta 106.95
_cell_angle_gamma 90.00
loop_
_space_group_symop_operation_xyz
'x,y,z'
'x,-y,z'
'x+1/2,y+1/2,z'
'x+1/2,-y+1/2,z'
loop_
_atom_site_label
_atom_site_fract_x
_atom_site_fract_y
_atom_site_fract_z
Ag1 0.000 0.235 0.000
Te1 0.018 0.500 0.388
S1 0.456 0.500 0.634
# **Total magnetic moment**: 0.000 μB per cell
# **E_tot**: -13.0 eV/f.u.
# **Energy relative to the elements, uncorrected**: 5 meV/atom
# **Polymorph energy (0 for the lowest one)**: 0.005 eV/atom